Entry 1:
The following is a GGA-PBE calculation of an optimized crystal structure of Cs3BaHg2Br9, from Alexandria via LeMat-Bulk.

Lattice parameters (Å, degrees): 8.2015 8.2015 10.5695 90.00 90.00 120.00
Space group P-3m1 (No. 164)
One atom of each set of equivalent atoms:
Cs1 0.0000 0.0000 0.0000 (multiplicity 1)
Cs2 0.3333 0.6667 0.7162 (multiplicity 2)
Ba1 0.0000 0.0000 0.5000 (multiplicity 1)
Hg1 0.3333 0.6667 0.1566 (multiplicity 2)
Br1 0.0000 0.5000 0.0000 (multiplicity 3)
Br2 0.1708 0.3415 0.3082 (multiplicity 6)

Results
* E_form (uncorrected): -30.12 kcal/mol of atoms

=====

Entry 2:
The following is a GGA-PBE calculation of an optimized crystal structure of CsBaHgBr5, from Alexandria via LeMat-Bulk.

Lattice parameters (Å, degrees): 10.3591 13.9047 11.3732 90.00 113.56 90.00
Space group C2/c (No. 15)
One atom of each set of equivalent atoms:
Cs1 0.0000 0.1499 0.2500 (multiplicity 4)
Ba1 0.0000 0.5000 0.0000 (multiplicity 4)
Hg1 0.0000 0.1834 0.7500 (multiplicity 4)
Br1 0.0000 0.4042 0.2500 (multiplicity 4)
Br2 0.1202 0.2867 0.6224 (multiplicity 8)
Br3 0.1730 0.0660 0.9362 (multiplicity 8)

Results
* E_form (uncorrected): -32.99 kcal/mol of atoms

=====

Entry 3:
The following is a GGA-PBE calculation of an optimized crystal structure of Cs2BaHoBr6, from Alexandria via LeMat-Bulk.

Lattice parameters (Å, degrees): 8.1521 11.9941 8.8662 90.00 90.00 90.00
Space group Pmmn (No. 59, origin choice 2)
One atom of each set of equivalent atoms:
Cs1 0.2500 0.0228 0.2123 (multiplicity 4)
Ba1 0.2500 0.2500 0.7230 (multiplicity 2)
Ho1 0.2500 0.7500 0.7736 (multiplicity 2)
Br1 0.0052 0.7500 0.5508 (multiplicity 4)
Br2 0.0124 0.7500 0.0055 (multiplicity 4)
Br3 0.2500 0.5148 0.7721 (multiplicity 4)

Results
* E_form (uncorrected): -41.10 kcal/mol of atoms

=====

Entry 4:
The following is a GGA-PBE calculation of an optimized crystal structure of CsBa2HoBr8, from Alexandria via LeMat-Bulk.

Lattice parameters (Å, degrees): 7.1903 7.2950 10.0893 90.02 90.06 90.15
Space group P-1 (No. 2)
One atom of each set of equivalent atoms:
Cs1 0.0000 0.0000 0.0000 (multiplicity 1)
Ba1 0.5002 0.5000 0.2544 (multiplicity 2)
Ho1 0.0000 0.0000 0.5000 (multiplicity 1)
Br1 0.2265 0.8514 0.3030 (multiplicity 2)
Br2 0.2272 0.8522 0.6972 (multiplicity 2)
Br3 0.2369 0.3170 0.4997 (multiplicity 2)
Br4 0.2576 0.4025 0.9999 (multiplicity 2)

Results
* E_form (uncorrected): -45.80 kcal/mol of atoms

=====

Entry 5:
The following is a GGA-PBE calculation of an optimized crystal structure of CsBaHoBr6, from Alexandria via LeMat-Bulk.

Lattice parameters (Å, degrees): 8.0508 8.0508 15.1142 90.00 90.00 120.00
Space group P-31c (No. 163)
One atom of each set of equivalent atoms:
Cs1 0.0000 0.0000 0.0000 (multiplicity 2)
Ba1 0.3333 0.6667 0.2500 (multiplicity 2)
Ho1 0.3333 0.6667 0.7500 (multiplicity 2)
Br1 0.0407 0.3940 0.6414 (multiplicity 12)

Results
* E_form (uncorrected): -45.75 kcal/mol of atoms

=====

Entry 6:
The following is a GGA-PBE calculation of an optimized crystal structure of Cs2BaI3Br, from Alexandria via LeMat-Bulk.

Lattice parameters (Å, degrees): 6.2933 6.7331 19.8583 90.00 90.00 90.00
Space group Immm (No. 71)
One atom of each set of equivalent atoms:
Cs1 0.0000 0.0000 0.1389 (multiplicity 4)
Ba1 0.0000 0.0000 0.5000 (multiplicity 2)
I1 0.0000 0.0000 0.3279 (multiplicity 4)
I2 0.0000 0.5000 0.5000 (multiplicity 2)
Br1 0.0000 0.5000 0.0000 (multiplicity 2)

Results
* E_form (uncorrected): -39.00 kcal/mol of atoms

=====

Entry 7:
The following is a GGA-PBE calculation of an optimized crystal structure of Cs2BaInBr5, from Alexandria via LeMat-Bulk.

Lattice parameters (Å, degrees): 4.9955 20.9026 16.0593 90.00 90.00 90.00
Space group Cmc2_1 (No. 36)
One atom of each set of equivalent atoms:
Cs1 0.0000 0.0881 0.0000 (multiplicity 4)
Cs2 0.0000 0.1319 0.6359 (multiplicity 4)
Ba1 0.0000 0.2226 0.3607 (multiplicity 4)
In1 0.0000 0.4623 0.7912 (multiplicity 4)
Br1 0.0000 0.0740 0.4080 (multiplicity 4)
Br2 0.0000 0.2646 0.9948 (multiplicity 4)
Br3 0.0000 0.3035 0.7339 (multiplicity 4)
Br4 0.0000 0.3746 0.3273 (multiplicity 4)
Br5 0.0000 0.4957 0.1070 (multiplicity 4)

Results
* E_form (uncorrected): -38.03 kcal/mol of atoms

=====

Entry 8:
The following is a GGA-PBE calculation of an optimized crystal structure of CsBa2In2Br7, from Alexandria via LeMat-Bulk.

Lattice parameters (Å, degrees): 27.1104 6.4958 6.4584 90.00 103.75 90.00
Space group Cm (No. 8)
One atom of each set of equivalent atoms:
Cs1 0.0000 0.0000 0.0000 (multiplicity 2)
Ba1 0.1156 0.5000 0.6940 (multiplicity 2)
Ba2 0.3844 0.0000 0.4633 (multiplicity 2)
In1 0.2476 0.0000 0.8312 (multiplicity 2)
In2 0.2524 0.5000 0.3352 (multiplicity 2)
Br1 0.0000 0.5000 0.7318 (multiplicity 2)
Br2 0.0989 0.0000 0.6558 (multiplicity 2)
Br3 0.1321 0.5000 0.2123 (multiplicity 2)
Br4 0.2388 0.5000 0.8227 (multiplicity 2)
Br5 0.2613 0.0000 0.3466 (multiplicity 2)
Br6 0.3679 0.0000 0.9487 (multiplicity 2)
Br7 0.4011 0.5000 0.4580 (multiplicity 2)

Results
* E_form (uncorrected): -36.36 kcal/mol of atoms